<P>
DFT (PBE) results for crystalline Pr3YEr7 at its relaxed geometry.

Calculated values
Space-group type = Immm
Size of the total moment = 0.3 μB per formula unit

Cell and atoms, written as extended XYZ:
```
11
Lattice="5.8286 -0.2060 -0.2638 -2.5898 7.9570 1.0976 -2.5898 -0.8642 7.9857" Properties=species:S:1:pos:R:3 pbc="T T T"
Er -2.5898 3.5464 4.5416
Er 0.1324 1.4181 1.8161
Er 3.0502 3.0543 0.3815
Er -2.4012 7.2571 5.7638
Er 0.5166 5.4687 7.0034
Er -2.4012 3.8325 8.4380
Er 3.0502 -0.3703 3.0557
Y 0.3245 3.4434 4.4097
Pr 2.9143 -0.1030 -0.1319
Pr -2.5898 1.0252 6.5103
Pr -2.5898 6.0676 2.5730
```


<Q>
DFT (PBE) results for crystalline Pr3YEr7 at its relaxed geometry.

Calculated values
Space-group type = P-1
Size of the total moment = 0.0 μB per formula unit

Cell and atoms, written as extended XYZ:
```
11
Lattice="-4.8410 -3.8755 2.5441 -1.0919 -1.6879 -6.1879 4.0962 -7.5594 -0.0039" Properties=species:S:1:pos:R:3 pbc="T T T"
Er 0.4141 -4.2335 0.6050
Er 1.5021 -4.6237 -3.0959
Er -1.2920 -2.9641 -1.9660
Er -0.5448 -10.1587 -1.6817
Er -2.2509 -8.8894 -4.2527
Er 1.3490 -8.0333 -3.8912
Er -3.1858 -5.0895 0.2435
Pr 2.9099 -6.8883 -1.0710
Pr -2.4205 -1.9378 1.2721
Pr -4.7467 -6.2346 -2.5767
Y -0.9184 -6.5614 -1.8239
```


Most stable to least stable, the ends of the list are <Q> and <P>.


<P>
DFT (PBE) results for crystalline Pr2Y7Er at its relaxed geometry.

Calculated values
Space-group type = P-1
Size of the total moment = 0.0 μB per formula unit

Cell and atoms, written as extended XYZ:
```
10
Lattice="6.1451 0.1983 -0.9473 0.9841 7.5806 -5.6453 -1.6642 -2.4140 9.0394" Properties=species:S:1:pos:R:3 pbc="T T T"
Y 3.5646 3.8895 -3.2963
Y 2.4325 3.4848 2.7997
Y 5.5396 1.7920 2.2134
Y -1.1299 -0.4208 6.1116
Y 6.5948 5.7857 -3.6648
Y -0.0746 3.5729 0.2334
Y 3.0325 1.8801 -0.3529
Er 0.0000 0.0000 0.0000
Pr 2.4898 -0.1045 2.5681
Pr 2.9752 5.4695 -0.1213
```


<Q>
DFT (PBE) results for crystalline Pr2Y7Er at its relaxed geometry.

Calculated values
Space-group type = Cmmm
Size of the total moment = 0.0 μB per formula unit

Cell and atoms, written as extended XYZ:
```
10
Lattice="3.5290 0.0000 0.0000 0.0000 14.1127 -4.8287 0.0000 -10.6763 10.4164" Properties=species:S:1:pos:R:3 pbc="T T T"
Y 0.0000 -6.0882 7.5947
Y 1.7645 3.2541 -0.1150
Y 0.0000 9.5245 -2.0070
Y 1.7645 1.7182 2.7939
Y 1.7645 0.1823 5.7027
Y 1.7645 5.0071 2.7354
Y 1.7645 -1.5707 2.8523
Er 0.0000 0.0000 0.0000
Pr 1.7645 6.8532 -0.3642
Pr 1.7645 -3.4169 5.9519
```


Most stable to least stable, the ends of the list are <P> and <Q>.


<P>
DFT (PBE) results for crystalline Pr4YEr2 at its relaxed geometry.

Calculated values
Space-group type = Imma
Size of the total moment = 0.0 μB per formula unit

Cell and atoms, written as extended XYZ:
```
14
Lattice="6.9304 0.0000 0.0000 3.4652 8.3093 -1.1468 3.4652 1.6205 8.2300" Properties=species:S:1:pos:R:3 pbc="T T T"
Er 6.9304 4.9649 3.5416
Er 3.4652 0.0000 0.0000
Er 6.9304 1.1348 4.3465
Er 6.9304 8.7950 2.7367
Pr 8.8625 3.1964 5.8171
Pr 6.9304 8.4225 6.0491
Pr 6.9304 1.5072 1.0341
Pr 4.9984 6.7334 1.2661
Pr 4.9984 3.1964 5.8171
Pr 3.4652 3.4965 2.4531
Pr 10.3956 6.4333 4.6301
Pr 8.8625 6.7334 1.2661
Y 5.1978 4.1546 -0.5734
Y 1.7326 4.1546 -0.5734
```


<Q>
DFT (PBE) results for crystalline Pr4YEr2 at its relaxed geometry.

Calculated values
Space-group type = Fdd2
Size of the total moment = 0.0 μB per formula unit

Cell and atoms, written as extended XYZ:
```
14
Lattice="-11.6535 -4.6487 1.7154 8.9541 4.6704 -7.6399 3.4328 -5.5911 1.9921" Properties=species:S:1:pos:R:3 pbc="T T T"
Pr 2.9358 -2.8709 0.1380
Pr -0.7048 -0.5872 -3.3489
Pr -3.7807 -7.3128 1.6033
Pr -6.2316 -5.0392 0.7294
Pr 0.2310 -3.7358 -1.9985
Pr 5.5851 0.4942 -4.4238
Pr -1.0142 -1.0855 0.1559
Pr 8.0215 -2.1655 -3.9659
Er 8.9255 0.7519 -5.7595
Er -2.9692 -3.9952 -0.3569
Er -9.6353 -4.0698 0.8914
Er 5.2893 -3.8323 -2.3307
Y 2.8189 -1.6202 -3.4085
Y -4.0493 -1.1544 -2.0657
```


Most stable to least stable, the ends of the list are <Q> and <P>.


<P>
DFT (PBE) results for crystalline PrY3Er5 at its relaxed geometry.

Calculated values
Space-group type = C2/c
Size of the total moment = 0.1 μB per formula unit

Cell and atoms, written as extended XYZ:
```
18
Lattice="-8.9109 -0.3807 4.6175 -6.8707 -6.0330 4.1553 1.0002 -0.5589 11.2496" Properties=species:S:1:pos:R:3 pbc="T T T"
Y -4.7647 -1.0521 12.6416
Y 0.0000 0.0000 0.0000
Y -10.5969 -3.2070 13.2504
Y -4.1845 -3.7656 6.7720
Y -10.0167 -5.9205 7.3808
Y 0.5001 -0.2795 5.6248
Er -5.1785 -1.0083 8.9619
Er -4.6668 -3.5323 3.1079
Er -5.6201 -0.9037 5.2616
Er -9.6028 -5.9643 11.0605
Er -4.1325 -3.9187 10.6626
Er -6.9599 -4.1266 12.7827
Er -10.6488 -3.0539 9.3597
Er -10.1146 -3.4403 16.9145
Er -9.1613 -6.0689 14.7608
Er -7.8214 -2.8460 7.2397
Pr -7.9685 -1.3323 13.0112
Pr -6.8128 -5.6403 7.0112
```


<Q>
DFT (PBE) results for crystalline PrY3Er5 at its relaxed geometry.

Calculated values
Space-group type = C2/m
Size of the total moment = 0.0 μB per formula unit

Cell and atoms, written as extended XYZ:
```
18
Lattice="9.0081 1.8283 1.3506 4.2245 8.1634 1.3506 5.7819 4.3658 10.6044" Properties=species:S:1:pos:R:3 pbc="T T T"
Er 9.2562 4.9410 9.0474
Er 8.3852 6.3316 5.8161
Er 7.2862 7.5500 9.0474
Er 11.7282 6.8075 4.2581
Er 10.2846 7.7658 10.8292
Er 10.6292 8.0260 7.4895
Er 8.7298 6.5918 2.4764
Er 7.4717 3.8630 1.3506
Er 9.7581 9.4166 4.2581
Er 5.7609 6.1287 1.3506
Y 12.9883 9.8074 5.8804
Y 6.0260 4.5502 7.4252
Y 5.8836 4.4427 4.1482
Y 2.8909 2.1829 5.3022
Y 13.1307 9.9149 9.1574
Y 0.0000 0.0000 0.0000
Pr 2.1704 1.6388 1.6603
Pr 16.8440 12.7188 11.6453
```


Most stable to least stable, the ends of the list are <P> and <Q>.


<P>
DFT (PBE) results for crystalline PrY6Er2 at its relaxed geometry.

Calculated values
Space-group type = Ibam
Size of the total moment = 0.0 μB per formula unit

Cell and atoms, written as extended XYZ:
```
18
Lattice="5.6437 -0.9375 0.1799 -1.4549 9.8973 6.3959 -2.9754 1.6980 11.3686" Properties=species:S:1:pos:R:3 pbc="T T T"
Pr 2.3980 7.1459 7.7731
Pr -1.1846 3.5120 10.1713
Y -1.3861 1.7312 7.1695
Y 2.5995 8.9267 10.7749
Y -0.6395 5.3072 6.9940
Y 2.1958 5.3617 4.7733
Y 1.9319 3.4879 7.9031
Y -0.3141 10.6824 15.9560
Y -0.9824 5.2962 13.1711
Y 1.5275 -0.0245 1.9884
Y -0.7185 7.1700 10.0413
Y -3.3864 9.8002 16.6854
Y 1.8529 5.3506 10.9503
Y 4.5998 0.8577 1.2589
Er 4.4839 2.6672 4.2064
Er -3.2705 7.9907 13.7379
Er -0.1981 8.8735 13.0082
Er 1.4115 1.7844 4.9362
```


<Q>
DFT (PBE) results for crystalline PrY6Er2 at its relaxed geometry.

Calculated values
Space-group type = P4_2/mnm
Size of the total moment = 0.0 μB per formula unit

Cell and atoms, written as extended XYZ:
```
18
Lattice="-3.2095 2.1428 3.2634 4.1685 -5.8613 7.9483 7.1548 7.7397 1.9553" Properties=species:S:1:pos:R:3 pbc="T T T"
Y 4.2464 -1.2335 8.9001
Y 2.8620 0.7216 6.2546
Y 1.7590 4.0614 6.8903
Y 8.7398 2.5339 6.9325
Y 6.3547 -0.0402 6.2766
Y 5.2517 3.2996 6.9124
Y 9.0213 3.9254 10.2091
Y 5.3603 -4.5685 8.2716
Y -0.6261 1.4873 6.2344
Y 2.7534 8.5897 4.8953
Y 3.8673 5.2547 4.2669
Y -0.9076 0.0958 2.9579
Pr 3.5774 3.8699 0.9776
Pr 0.4795 -1.8593 5.6058
Er 6.6414 1.3574 9.5544
Er 0.7708 -0.4730 8.8956
Er 7.3429 4.4942 4.2713
Er 1.4723 2.6638 3.6125
```


Most stable to least stable, the ends of the list are <Q> and <P>.


<P>
DFT (PBE) results for crystalline PrY3Er2 at its relaxed geometry.

Calculated values
Space-group type = C2/m
Size of the total moment = 0.0 μB per formula unit

Cell and atoms, written as extended XYZ:
```
12
Lattice="3.5202 0.0000 0.0000 0.0000 10.2557 -0.5286 -1.7601 -3.0940 11.1597" Properties=species:S:1:pos:R:3 pbc="T T T"
Y 0.0000 2.9821 9.5217
Y 1.7601 -0.2796 9.5446
Y 0.0000 1.0314 6.6355
Y 1.7601 6.1303 3.9956
Y 1.7601 4.1796 1.1094
Y 0.0000 7.4413 1.0865
Pr 0.0000 7.8635 6.5672
Pr 1.7601 -0.7018 4.0639
Er 1.7601 2.6458 4.1135
Er 1.7601 6.1360 9.1622
Er 0.0000 1.0257 1.4689
Er 0.0000 4.5159 6.5176
```


<Q>
DFT (PBE) results for crystalline PrY3Er2 at its relaxed geometry.

Calculated values
Space-group type = Imma
Size of the total moment = 0.0 μB per formula unit

Cell and atoms, written as extended XYZ:
```
12
Lattice="-2.9096 -4.7767 -2.9465 1.8151 2.8507 -6.4127 7.9778 -3.6104 4.7561" Properties=species:S:1:pos:R:3 pbc="T T T"
Y 4.1155 0.4399 -4.7795
Y 3.2093 -0.9832 -1.5718
Y 3.6739 -4.5532 -3.0313
Y 2.7678 -5.9763 0.1764
Y -0.8436 -1.4818 -7.0424
Y -0.2509 -0.4442 -2.3168
Er 0.7034 -3.7166 -1.4514
Er 6.1798 -1.8198 -3.1516
Er 5.2722 -3.2453 0.0546
Er 1.6111 -2.2911 -4.6577
Pr 0.6246 0.9285 -5.5556
Pr -1.7191 -2.8545 -3.8036
```


Most stable to least stable, the ends of the list are <P> and <Q>.


<P>
DFT (PBE) results for crystalline Pr4Y4Er at its relaxed geometry.

Calculated values
Space-group type = I4/mmm
Size of the total moment = 0.0 μB per formula unit

Cell and atoms, written as extended XYZ:
```
9
Lattice="-1.4455 2.7087 4.1158 -3.7351 -5.0067 5.1864 6.0263 -0.1795 5.4376" Properties=species:S:1:pos:R:3 pbc="T T T"
Y -3.4614 -1.5509 6.2112
Y 4.3071 -0.9266 8.5286
Y -0.6609 -3.3239 11.5647
Y 1.5067 0.8465 3.1751
Er 0.0000 0.0000 0.0000
Pr -1.9498 -0.7005 9.3854
Pr -0.2089 0.0957 6.2698
Pr 1.0547 -2.5731 8.4700
Pr 2.7955 -1.7770 5.3543
```


<Q>
DFT (PBE) results for crystalline Pr4Y4Er at its relaxed geometry.

Calculated values
Space-group type = C2/m
Size of the total moment = 0.0 μB per formula unit

Cell and atoms, written as extended XYZ:
```
9
Lattice="-3.5870 0.2689 -5.1234 -0.1924 -3.6081 -5.1067 -11.5103 -3.2199 1.5247" Properties=species:S:1:pos:R:3 pbc="T T T"
Y -10.4281 -3.9991 -3.0854
Y -7.5552 -4.9147 -5.1266
Y -7.7345 -1.6444 -3.5787
Y -4.8617 -2.5600 -5.6200
Pr -10.8035 -4.3388 -6.6576
Pr -13.6665 -3.4138 -4.6155
Pr -1.6233 -3.1453 -4.0899
Pr -4.4862 -2.2202 -2.0478
Er -1.7935 0.1345 -2.5617
```


Most stable to least stable, the ends of the list are <Q> and <P>.


<P>
DFT (PBE) results for crystalline Pr4Y3Er4 at its relaxed geometry.

Calculated values
Space-group type = P-1
Size of the total moment = 0.0 μB per formula unit

Cell and atoms, written as extended XYZ:
```
11
Lattice="-2.5406 -2.4726 0.2884 1.7888 -2.3964 -4.7879 10.8885 -12.9079 7.2063" Properties=species:S:1:pos:R:3 pbc="T T T"
Er 7.5613 -12.2343 5.6195
Er 2.5751 -5.5426 -2.9129
Er 4.8872 -7.3288 2.1695
Er 5.2490 -10.4480 0.5370
Y 8.6847 -11.2273 2.2104
Y 1.4519 -6.5497 0.4962
Y 0.0002 -0.0003 0.0001
Pr 9.4728 -14.3769 4.0786
Pr 5.5533 -10.3668 3.9379
Pr 4.5830 -7.4101 -1.2314
Pr 0.6642 -3.4006 -1.3715
```


<Q>
DFT (PBE) results for crystalline Pr4Y3Er4 at its relaxed geometry.

Calculated values
Space-group type = Immm
Size of the total moment = 0.0 μB per formula unit

Cell and atoms, written as extended XYZ:
```
11
Lattice="3.5946 -0.0036 -0.3063 -0.0505 5.0372 -0.6311 -0.1040 -0.0433 20.0627" Properties=species:S:1:pos:R:3 pbc="T T T"
Er 0.3063 0.4515 3.5991
Er 3.1338 4.5389 15.5262
Er 2.5319 3.6441 8.4662
Er 0.9079 1.3464 10.6591
Y 1.2137 1.8017 14.2555
Y 0.0001 0.0001 0.0005
Y 2.2262 3.1887 4.8692
Pr 1.9272 2.7439 1.3448
Pr 2.8315 4.0882 11.9662
Pr 0.6083 0.9023 7.1588
Pr 1.5129 2.2466 17.7811
```


Most stable to least stable, the ends of the list are <Q> and <P>.


<P>
DFT (PBE) results for crystalline Pr4Y2Er5 at its relaxed geometry.

Calculated values
Space-group type = C2/m
Size of the total moment = 0.0 μB per formula unit

Cell and atoms, written as extended XYZ:
```
11
Lattice="5.5227 0.0000 -1.3472 -0.3197 6.5062 -1.3106 -0.5185 1.7840 9.8679" Properties=species:S:1:pos:R:3 pbc="T T T"
Pr 3.6089 1.1696 2.8007
Pr 0.0020 1.9344 0.0084
Pr 1.0756 7.1207 4.4094
Pr 4.6825 6.3558 7.2017
Er 0.3011 6.2454 1.2344
Er 4.3834 2.0448 5.9758
Er 3.8747 4.9261 3.8903
Er 0.8098 3.3641 3.3198
Er 2.7614 0.0000 -0.6736
Y 1.6578 4.3226 6.7960
Y 3.0267 3.9676 0.4141
```


<Q>
DFT (PBE) results for crystalline Pr4Y2Er5 at its relaxed geometry.

Calculated values
Space-group type = C2/m
Size of the total moment = 0.0 μB per formula unit

Cell and atoms, written as extended XYZ:
```
11
Lattice="-2.6087 2.1180 -1.1637 -4.3737 -6.9773 -2.8945 5.0683 12.7609 17.2964" Properties=species:S:1:pos:R:3 pbc="T T T"
Pr 0.0194 10.3359 13.3346
Pr 1.3458 7.7572 11.1012
Pr -1.9334 -2.4343 -0.0965
Pr -3.2598 0.1444 2.1369
Er -0.8718 3.1534 2.2603
Er 0.4215 3.5745 5.5608
Er -1.3043 1.0590 -0.5819
Er -2.3355 4.3270 7.6773
Er -1.0422 4.7481 10.9778
Y 0.9187 5.6802 8.2785
Y -2.8327 2.2214 4.9596
```


Most stable to least stable, the ends of the list are <P> and <Q>.


<P>
DFT (PBE) results for crystalline Pr6YEr5 at its relaxed geometry.

Calculated values
Space-group type = C2/m
Size of the total moment = 0.0 μB per formula unit

Cell and atoms, written as extended XYZ:
```
12
Lattice="-7.0839 -1.4481 9.3658 0.3428 -6.2410 0.7002 4.4421 -2.5130 3.6742" Properties=species:S:1:pos:R:3 pbc="T T T"
Pr 1.4961 -7.7591 5.4348
Pr -3.7950 -2.4430 8.3054
Pr -2.2089 -5.3622 9.7567
Pr -5.0515 -5.7574 7.5422
Pr -1.6896 -1.9317 2.5238
Pr -0.0901 -4.8399 3.9835
Y 0.0000 0.0000 0.0000
Er -0.5239 -3.4396 7.2487
Er -3.3705 -3.8446 5.0330
Er 1.5946 -2.9181 1.4578
Er -1.7750 -6.7625 6.4915
Er 3.1903 -5.8360 2.9166
```


<Q>
DFT (PBE) results for crystalline Pr6YEr5 at its relaxed geometry.

Calculated values
Space-group type = Immm
Size of the total moment = 0.0 μB per formula unit

Cell and atoms, written as extended XYZ:
```
12
Lattice="-2.8834 1.2948 4.0853 0.5368 -9.4624 3.3760 7.5646 5.8550 0.2172" Properties=species:S:1:pos:R:3 pbc="T T T"
Pr 2.5365 -6.4979 3.8475
Pr 2.9494 -0.5310 5.5135
Pr 2.2687 -1.7816 2.1651
Pr 6.5249 -0.5802 4.7866
Pr 2.6816 4.1853 3.8311
Pr -1.3068 -1.7324 2.8920
Y 0.0000 0.0000 0.0000
Er 0.6903 1.2382 3.3596
Er 4.2552 1.1792 2.6284
Er 4.5278 -3.5508 4.3190
Er 0.2684 -4.7312 1.6880
Er 0.9629 -3.4918 5.0501
```


Most stable to least stable, the ends of the list are <P> and <Q>.